[1]
VASP calculation (PBE) on crystalline Tl2RhPbSe at its relaxed geometry.

Cell: 5.249 5.249 5.257 Å, 90.00 90.00 90.00°
Atoms (fractional coordinates):
Tl 0.000 0.500 0.000
Se 0.500 0.500 0.500
Rh 0.000 0.000 0.000
Pb 0.000 0.000 0.500
Tl 0.500 0.000 0.000

Computed properties:
Final energy = -3.9372 eV/atom
Formation energy (no corrections) = -0.082 eV/atom
DOS at the Fermi energy = 2.7 states/eV/cell
Total moment = 0.0 Bohr magnetons per cell

---

[2]
VASP calculation (PBE) on crystalline URhPbSe3 at its relaxed geometry.

Cell: 4.027 8.669 9.387 Å, 101.94 90.00 90.00°
Each line ends with the local moment (μB).
Atoms (fractional coordinates):
Pb 0.250 0.128 0.299  0.00
U 0.750 0.335 0.845  1.71
Se 0.750 0.876 0.117  -0.06
Rh 0.250 0.094 0.598  -0.17
U 0.250 0.665 0.155  1.71
Se 0.250 0.124 0.883  -0.06
Rh 0.750 0.906 0.402  -0.17
Se 0.250 0.566 0.845  -0.07
Se 0.750 0.434 0.155  -0.07
Se 0.750 0.249 0.550  -0.05
Pb 0.750 0.872 0.701  0.00
Se 0.250 0.751 0.450  -0.05

Computed properties:
Final energy = -6.1765 eV/atom
Formation energy (no corrections) = -0.710 eV/atom
DOS at the Fermi energy = 11.5 states/eV/cell
Total moment = 2.8 Bohr magnetons per cell

---

[3]
VASP calculation (PBE) on crystalline Si2RhPb at its relaxed geometry.

Cell: 6.205 6.205 6.205 Å, 37.79 37.79 37.79°
Atoms (fractional coordinates):
Rh 0.750 0.750 0.750
Si 0.458 0.458 0.458
Si 0.042 0.042 0.042
Pb 0.250 0.250 0.250

Computed properties:
Final energy = -5.5524 eV/atom
Formation energy (no corrections) = -0.076 eV/atom
DOS at the Fermi energy = 2.8 states/eV/cell
Total moment = 0.0 Bohr magnetons per cell